# NaZrPCl2 (PBE, optimized geometry)
# Total magnetization (μB/f.u.): 0.0
# E_form (uncorrected) (eV per atom): -0.010
# Mass density (Mg/m³): 3.1
# Polymorph energy (0 for the lowest one) (meV per atom): 1017.8
data_NaZrPCl2
_cell_length_a 4.542
_cell_length_b 4.542
_cell_length_c 5.526
_cell_angle_alpha 90.00
_cell_angle_beta 90.00
_cell_angle_gamma 90.00
_space_group_name_H-M_alt 'P 4/m m m'
_space_group_IT_number 123
_space_group_name_Hall '-P 4 2'
loop_
_atom_site_label
_atom_site_type_symbol
_atom_site_fract_x
_atom_site_fract_y
_atom_site_fract_z
Na1 Na 0.000 0.000 0.000
Zr1 Zr 0.500 0.500 0.500
P1 P 0.000 0.000 0.500
Cl1 Cl 0.000 0.500 0.000

***

# NaMg2NiHg (PBE, optimized geometry)
# Total magnetization (μB/f.u.): 0.0
# Formation energy (eV per formula unit): -0.1
# Mass density (Mg/m³): 4.6
data_NaMg2NiHg
_cell_length_a 4.876
_cell_length_b 4.876
_cell_length_c 5.061
_cell_angle_alpha 90.00
_cell_angle_beta 90.00
_cell_angle_gamma 90.00
_space_group_name_H-M_alt 'P 4/m m m'
_space_group_IT_number 123
_space_group_name_Hall '-P 4 2'
loop_
_atom_site_label
_atom_site_type_symbol
_atom_site_fract_x
_atom_site_fract_y
_atom_site_fract_z
Na1 Na 0.000 0.000 0.000
Mg1 Mg 0.000 0.500 0.500
Ni1 Ni 0.500 0.500 0.500
Hg1 Hg 0.500 0.500 0.000

***

# SrCrRu (PBE, optimized geometry)
# Total magnetization (μB/f.u.): 3.9
# Formation energy (eV per formula unit): 5.3
# Mass density (Mg/m³): 5.2
# Polymorph energy (0 for the lowest one) (meV per atom): 1313.5
data_SrCrRu
_cell_length_a 6.770
_cell_length_b 6.770
_cell_length_c 6.770
_cell_angle_alpha 90.00
_cell_angle_beta 90.00
_cell_angle_gamma 90.00
_space_group_name_H-M_alt 'F -4 3 m'
_space_group_IT_number 216
_space_group_name_Hall 'F -4 2 3'
loop_
_atom_site_label
_atom_site_type_symbol
_atom_site_fract_x
_atom_site_fract_y
_atom_site_fract_z
Sr1 Sr 0.000 0.000 0.000
Cr1 Cr 0.250 0.250 0.250
Ru1 Ru 0.250 0.250 0.750

***

# La2Pm6Dy3In (PBE, optimized geometry)
# Total magnetization (μB/f.u.): 0.0
# Formation energy (eV per formula unit): -0.7
# Mass density (Mg/m³): 7.4
data_La2Pm6Dy3In
_cell_length_a 6.208
_cell_length_b 10.762
_cell_length_c 11.944
_cell_angle_alpha 90.00
_cell_angle_beta 100.01
_cell_angle_gamma 90.00
_space_group_name_H-M_alt 'C 1 2/m 1'
_space_group_IT_number 12
_space_group_name_Hall '-C 2y'
loop_
_atom_site_label
_atom_site_type_symbol
_atom_site_fract_x
_atom_site_fract_y
_atom_site_fract_z
La1 La 0.000 0.166 0.000
Pm1 Pm 0.241 0.500 0.748
Pm2 Pm 0.246 0.338 0.252
Dy1 Dy 0.000 0.000 0.500
Dy2 Dy 0.000 0.333 0.500
In1 In 0.000 0.500 0.000

***

# Mg2CoIr (PBE, optimized geometry)
# Total magnetization (μB/f.u.): 2.1
# Formation energy (eV per formula unit): -0.2
# Mass density (Mg/m³): 7.7
# Polymorph energy (0 for the lowest one) (meV per atom): 42.2
data_Mg2CoIr
_cell_length_a 2.917
_cell_length_b 2.917
_cell_length_c 7.625
_cell_angle_alpha 90.00
_cell_angle_beta 90.00
_cell_angle_gamma 90.00
_space_group_name_H-M_alt 'P 4 m m'
_space_group_IT_number 99
_space_group_name_Hall 'P 4 -2'
loop_
_atom_site_label
_atom_site_type_symbol
_atom_site_fract_x
_atom_site_fract_y
_atom_site_fract_z
Mg1 Mg 0.000 0.000 0.000
Mg2 Mg 0.500 0.500 0.342
Co1 Co 0.000 0.000 0.568
Ir1 Ir 0.500 0.500 0.763

***

# GeB2IF (PBE, optimized geometry)
# Total magnetization (μB/f.u.): 0.0
# E_form (uncorrected) (eV per atom): 1.454
# Mass density (Mg/m³): 3.8
data_GeB2IF
_cell_length_a 4.159
_cell_length_b 4.159
_cell_length_c 6.023
_cell_angle_alpha 90.00
_cell_angle_beta 90.00
_cell_angle_gamma 90.00
_space_group_name_H-M_alt 'P 4/m m m'
_space_group_IT_number 123
_space_group_name_Hall '-P 4 2'
loop_
_atom_site_label
_atom_site_type_symbol
_atom_site_fract_x
_atom_site_fract_y
_atom_site_fract_z
Ge1 Ge 0.000 0.000 0.000
B1 B 0.000 0.500 0.500
I1 I 0.500 0.500 0.000
F1 F 0.500 0.500 0.500

***

# SrCuSbF2 (PBE, optimized geometry)
# Total magnetization (μB/f.u.): 1.1
# E_form (uncorrected) (eV per atom): -1.478
# Mass density (Mg/m³): 3.6
data_SrCuSbF2
_cell_length_a 4.432
_cell_length_b 4.432
_cell_length_c 7.249
_cell_angle_alpha 90.00
_cell_angle_beta 90.00
_cell_angle_gamma 90.00
_space_group_name_H-M_alt 'P 4/m m m'
_space_group_IT_number 123
_space_group_name_Hall '-P 4 2'
loop_
_atom_site_label
_atom_site_type_symbol
_atom_site_fract_x
_atom_site_fract_y
_atom_site_fract_z
Sr1 Sr 0.000 0.000 0.000
Cu1 Cu 0.000 0.000 0.500
Sb1 Sb 0.500 0.500 0.500
F1 F 0.000 0.500 0.000

***

# Ac4CePm3Sb8 (PBE, optimized geometry)
# Total magnetization (μB/f.u.): 0.7
# E_form (uncorrected) (eV per atom): -1.173
# Mass density (Mg/m³): 7.2
data_Ac4CePm3Sb8
_cell_length_a 9.2939
_cell_length_b 9.2939
_cell_length_c 22.8041
_cell_angle_alpha 90.00
_cell_angle_beta 90.00
_cell_angle_gamma 120.00
_space_group_name_H-M_alt 'R -3 m'
_space_group_IT_number 166
_space_group_name_Hall '-R 3 2"'
loop_
_atom_site_label
_atom_site_type_symbol
_atom_site_fract_x
_atom_site_fract_y
_atom_site_fract_z
Ac1 Ac 0.0000 0.0000 0.0000
Ac2 Ac 0.0000 0.5000 0.0000
Ce1 Ce 0.0000 0.0000 0.5000
Pm1 Pm 0.0000 0.5000 0.5000
Sb1 Sb 0.0000 0.0000 0.2446
Sb2 Sb 0.0009 0.5004 0.2442